First-principles (PBE+U) data for crystalline Li2CrP2O8 at its relaxed geometry, as listed in Alexandria via LeMat-Bulk.

a = 5.0132 Å, b = 8.2754 Å, c = 7.2094 Å
α = 90.00°, β = 97.85°, γ = 90.00°
Closest atoms and distances in Å follow each position.
Element x y z (fractional)
Li: 0.1747 0.0000 0.3248  4 O 1.89-2.11
Li: 0.3090 0.3727 0.8963  4 O 1.97-2.19
Li: 0.6910 0.8727 0.1037  4 O 1.97-2.19
Li: 0.8253 0.5000 0.6752  4 O 1.89-2.11
Cr: 0.2475 0.0267 0.7405  6 O 1.98-2.05
Cr: 0.7525 0.5267 0.2595  6 O 1.98-2.05
P: 0.1927 0.6976 0.0157  4 O 1.52-1.56
P: 0.3106 0.3516 0.4845  4 O 1.53-1.57
P: 0.6894 0.8516 0.5155  4 O 1.53-1.57
P: 0.8073 0.1976 0.9843  4 O 1.52-1.56
O: 0.0117 0.6946 0.1751  1 P 1.56
O: 0.0152 0.4161 0.4501  1 P 1.56
O: 0.0958 0.5757 0.8635  1 P 1.52
O: 0.1934 0.8745 0.9446  1 P 1.55
O: 0.2872 0.1654 0.5188  1 P 1.57
O: 0.4523 0.3814 0.3113  1 P 1.54
O: 0.4594 0.4230 0.6651  1 P 1.53
O: 0.4926 0.6574 0.0908  1 P 1.56
O: 0.5074 0.1574 0.9092  1 P 1.56
O: 0.5406 0.9230 0.3349  1 P 1.53
O: 0.5477 0.8814 0.6887  1 P 1.54
O: 0.7128 0.6654 0.4812  1 P 1.57
O: 0.8066 0.3745 0.0554  1 P 1.55
O: 0.9042 0.0757 0.1365  1 P 1.52
O: 0.9848 0.9161 0.5499  1 P 1.56
O: 0.9883 0.1946 0.8249  1 P 1.56

Summary:
- volume (A^3/atom) = 11.4
- M_tot (μB per formula unit) = 2.0
- energy above the lowest structure with this stoichiometry (eV per atom) = 0.022
- Fermi-level density of states (states/eV per cell) = 10.71